Entry 1:
Density functional theory data (PBE-GGA) for a geometry-optimized K3CrPb structure.

ΔE_f, eV per atom: 0.73

Cell lengths 6.8196, 6.8196, 6.8196 Å; angles 90.00, 90.00, 90.00 degrees
Each line ends with the local moment (μB).
Element x y z (fractional)
Pb (0.0000, 0.0000, 0.0000)  0.43
Cr (0.5000, 0.5000, 0.5000)  4.45
K (0.0000, 0.5000, 0.0000)  0.02
K (0.0000, 0.0000, 0.5000)  0.03
K (0.5000, 0.0000, 0.0000)  0.02

Entry 2:
Density functional theory data (PBE-GGA) for a geometry-optimized Pm3Dy2Y5 structure.

ΔE_f, eV per atom: 0.19

Cell lengths 9.3932, 9.3851, 11.1356 Å; angles 124.34, 124.35, 70.23 degrees
Element x y z (fractional)
Y (0.3756, 0.1247, 0.7400)
Y (0.8645, 0.6153, 0.7400)
Y (0.7263, 0.4763, 0.9526)
Y (0.6244, 0.8753, 0.2600)
Y (0.5268, 0.2768, 0.5535)
Y (0.2737, 0.5237, 0.0474)
Y (0.4732, 0.7232, 0.4465)
Y (0.0246, 0.7746, 0.5492)
Y (0.1355, 0.3847, 0.2600)
Y (0.9754, 0.2254, 0.4508)
Pm (0.2290, 0.9790, 0.9579)
Pm (0.7710, 0.0210, 0.0421)
Pm (0.0213, 0.7758, 0.2495)
Pm (0.7282, 0.4737, 0.2495)
Pm (0.9787, 0.2242, 0.7505)
Pm (0.2718, 0.5263, 0.7505)
Dy (0.5273, 0.2735, 0.2555)
Dy (0.4727, 0.7265, 0.7445)
Dy (0.7718, 0.0181, 0.7445)
Dy (0.2282, 0.9819, 0.2555)

Entry 3:
Density functional theory data (PBE-GGA) for a geometry-optimized Ce2HoCoHg structure.

ΔE_f, eV per atom: -0.20

Cell lengths 4.9224, 4.9223, 5.4576 Å; angles 90.00, 90.00, 90.00 degrees
Each line ends with the local moment (μB).
Element x y z (fractional)
Hg (0.5000, 0.5000, 0.5008)  0.00
Co (0.0000, 0.0000, 0.9998)  -0.03
Ce (0.0000, 0.5000, 0.9997)  0.23
Ce (0.5000, 0.0000, 0.9998)  0.23
Ho (0.0000, 0.0000, 0.4998)  0.01

Entry 4:
Density functional theory data (PBE-GGA) for a geometry-optimized CaHg7Pb2 structure.

ΔE_f, eV per atom: -0.09

Cell lengths 3.5267, 5.9625, 13.4366 Å; angles 102.82, 90.00, 90.00 degrees
Element x y z (fractional)
Hg (0.5000, 0.3459, 0.1980)
Hg (0.5000, 0.5000, 0.0000)
Hg (0.0000, 0.1870, 0.3741)
Hg (0.0000, 0.8130, 0.6259)
Hg (0.5000, 0.8522, 0.1980)
Hg (0.5000, 0.1478, 0.8020)
Hg (0.5000, 0.6541, 0.8020)
Pb (0.5000, 0.7088, 0.4176)
Pb (0.5000, 0.2912, 0.5824)
Ca (0.0000, 0.0000, 0.0000)

Entry 5:
Density functional theory data (PBE-GGA) for a geometry-optimized La2TmSb3Pt4 structure.

Uncorrected energy, eV/atom: -6.099

Cell lengths 4.5659, 4.5659, 11.3460 Å; angles 90.00, 90.00, 90.00 degrees
Element x y z (fractional)
Pt (0.0000, 0.0000, 0.0000)
Pt (0.0000, 0.5000, 0.3601)
Pt (0.5000, 0.0000, 0.6399)
Pt (0.5000, 0.5000, 0.0000)
Tm (0.5000, 0.5000, 0.5000)
Sb (0.0000, 0.0000, 0.5000)
Sb (0.0000, 0.5000, 0.1297)
Sb (0.5000, 0.0000, 0.8703)
La (0.5000, 0.0000, 0.2180)
La (0.0000, 0.5000, 0.7820)

Entry 6:
Density functional theory data (PBE-GGA) for a geometry-optimized K3OF structure.

Uncorrected energy, eV/atom: -3.538

Cell lengths 5.1269, 5.1269, 5.1269 Å; angles 90.00, 90.00, 90.00 degrees
Element x y z (fractional)
K (0.0000, 0.0000, 0.5000)
K (0.0000, 0.5000, 0.0000)
K (0.5000, 0.0000, 0.0000)
O (0.0000, 0.0000, 0.0000)
F (0.5000, 0.5000, 0.5000)

Entry 7:
Density functional theory data (PBE-GGA) for a geometry-optimized Mo2HIrRh structure.

Uncorrected energy, eV/atom: -8.395

Cell lengths 3.9568, 3.9568, 3.9534 Å; angles 90.00, 90.00, 90.00 degrees
Element x y z (fractional)
Ir (0.5000, 0.5000, 0.5000)
Mo (0.0000, 0.5000, 0.0000)
Mo (0.5000, 0.0000, 0.0000)
Rh (0.0000, 0.0000, 0.5000)
H (0.0000, 0.0000, 0.0000)

Entry 8:
Density functional theory data (PBE-GGA) for a geometry-optimized BaTaHg2 structure.

ΔE_f, eV per atom: 0.51

Cell lengths 5.4439, 5.4439, 6.6271 Å; angles 81.72, 81.72, 35.23 degrees
Each line ends with the local moment (μB).
Element x y z (fractional)
Ba (0.7545, 0.7545, 0.7606)  0.03
Ta (0.5050, 0.5050, 0.3966)  0.69
Hg (0.9971, 0.9971, 0.0356)  0.00
Hg (0.2434, 0.2434, 0.3072)  0.03